Here is a relaxed CsU2F9 crystal from the Alexandria database. Energies are from PBE.

Cell: 8.567 8.567 8.740 Å, 64.86 64.86 49.33°
Site moments in Bohr magnetons follow the coordinates.
Positions (direct):
Cs 0.121 0.890 0.245  0.00
F 0.260 0.353 0.520  -0.01
F 0.051 0.267 0.363  -0.01
U 0.628 0.815 0.696  2.05
F 0.562 0.103 0.724  -0.01
F 0.663 0.014 0.428  -0.01
F 0.969 0.357 0.075  -0.01
F 0.357 0.969 0.575  -0.01
F 0.267 0.051 0.863  -0.01
U 0.197 0.384 0.792  1.94
F 0.734 0.952 0.130  -0.01
F 0.635 0.741 0.983  -0.01
U 0.815 0.628 0.196  2.05
F 0.353 0.260 0.020  -0.01
Cs 0.890 0.121 0.745  0.00
F 0.014 0.663 0.928  -0.01
F 0.365 0.519 0.664  -0.02
F 0.519 0.365 0.164  -0.02
F 0.103 0.562 0.224  -0.01
F 0.875 0.457 0.780  0.00
F 0.741 0.635 0.483  -0.01
F 0.952 0.734 0.630  -0.01
F 0.457 0.875 0.280  0.00
U 0.384 0.197 0.292  1.94

For the calculated total energy, the calculation gives -0.502 Ry/atom. The space group is Cc (9). The energy above the most stable polymorph in this dataset comes out at 0.0000 eV/atom. The value obtained for the uncorrected formation energy is -3.473 eV per atom.


Here is a relaxed Cs2UF6 crystal from the Alexandria database. Energies are from PBE.

Cell: 6.804 8.605 8.185 Å, 90.00 111.18 90.00°
Site moments in Bohr magnetons follow the coordinates.
Positions (direct):
F 0.677 0.465 0.280  -0.01
F 0.732 0.127 0.528  -0.01
U 0.500 0.500 0.000  2.01
Cs 0.146 0.548 0.321  0.00
F 0.633 0.291 0.934  -0.02
U 0.000 0.000 0.500  2.01
F 0.867 0.791 0.566  -0.02
F 0.768 0.627 0.972  -0.01
F 0.823 0.965 0.220  -0.01
F 0.133 0.209 0.434  -0.02
Cs 0.354 0.048 0.179  0.00
F 0.232 0.373 0.028  -0.01
F 0.268 0.873 0.472  -0.01
Cs 0.646 0.952 0.821  0.00
F 0.177 0.035 0.780  -0.01
F 0.323 0.535 0.720  -0.01
F 0.367 0.709 0.066  -0.02
Cs 0.854 0.452 0.679  0.00

For the calculated total energy, the calculation gives -0.442 Ry/atom. The space group is P2_1/c (14). The value obtained for the uncorrected formation energy is -3.316 eV per atom.


Here is a relaxed CsU6F25 crystal from the Alexandria database. Energies are from PBE.

Cell: 8.209 8.209 16.611 Å, 90.00 90.00 120.00°
Site moments in Bohr magnetons follow the coordinates.
Positions (direct):
F 0.677 0.000 0.000  -0.02
F 0.152 0.305 0.645  -0.01
F 0.535 0.070 0.660  -0.01
F 0.465 0.930 0.160  -0.01
F 0.297 0.148 0.750  -0.01
F 0.000 0.323 0.000  -0.02
F 0.703 0.852 0.250  -0.01
U 0.666 0.833 0.112  2.00
F 0.152 0.305 0.855  -0.01
F 0.667 0.333 0.558  -0.01
F 0.695 0.848 0.855  -0.01
U 0.833 0.167 0.888  2.00
F 0.333 0.667 0.442  -0.01
U 0.167 0.334 0.388  2.00
F 0.305 0.152 0.145  -0.01
F 0.323 0.000 0.500  -0.02
F 0.848 0.152 0.145  -0.01
F 0.070 0.535 0.160  -0.01
F 0.000 0.000 0.424  -0.01
Cs 0.333 0.667 0.750  0.00
U 0.666 0.833 0.388  2.00
U 0.167 0.833 0.112  2.00
F 0.677 0.677 0.500  -0.02
F 0.152 0.848 0.645  -0.01
F 0.323 0.000 0.000  -0.02
F 0.465 0.535 0.340  -0.01
F 0.465 0.535 0.160  -0.01
F 0.070 0.535 0.340  -0.01
F 0.848 0.695 0.145  -0.01
F 0.852 0.148 0.750  -0.01
F 0.535 0.070 0.840  -0.01
F 0.677 0.000 0.500  -0.02
F 0.333 0.667 0.058  -0.01
F 0.323 0.323 0.000  -0.02
F 0.535 0.465 0.660  -0.01
F 0.148 0.297 0.250  -0.01
U 0.334 0.167 0.612  2.00
F 0.152 0.848 0.855  -0.01
F 0.148 0.852 0.250  -0.01
U 0.167 0.833 0.388  2.00
U 0.833 0.666 0.612  2.00
F 0.323 0.323 0.500  -0.02
U 0.833 0.167 0.612  2.00
F 0.535 0.465 0.840  -0.01
F 0.852 0.703 0.750  -0.01
F 0.000 0.000 0.076  -0.01
F 0.695 0.848 0.645  -0.01
F 0.000 0.323 0.500  -0.02
U 0.334 0.167 0.888  2.00
F 0.848 0.695 0.355  -0.01
Cs 0.667 0.333 0.250  0.00
F 0.930 0.465 0.840  -0.01
U 0.833 0.666 0.888  2.00
F 0.000 0.000 0.924  -0.01
F 0.848 0.152 0.355  -0.01
U 0.167 0.334 0.112  2.00
F 0.465 0.930 0.340  -0.01
F 0.667 0.333 0.942  -0.01
F 0.000 0.677 0.000  -0.02
F 0.000 0.000 0.576  -0.01
F 0.930 0.465 0.660  -0.01
F 0.000 0.677 0.500  -0.02
F 0.677 0.677 0.000  -0.02
F 0.305 0.152 0.355  -0.01

For the calculated total energy, the calculation gives -0.528 Ry/atom. The space group is P6_3/mmc (194). The value obtained for the uncorrected formation energy is -3.576 eV per atom.


Here is a relaxed Cs3UF7 crystal from the Alexandria database. Energies are from PBE.

Cell: 6.793 6.793 7.483 Å, 63.64 63.64 87.52°
Site moments in Bohr magnetons follow the coordinates.
Positions (direct):
F 0.121 0.121 0.146  -0.02
F 0.286 0.991 0.747  -0.01
F 0.693 0.693 0.403  0.00
F 0.991 0.286 0.747  -0.01
U 0.957 0.957 0.037  2.01
Cs 0.759 0.235 0.489  0.00
F 0.661 0.115 0.176  -0.01
Cs 0.235 0.759 0.489  0.00
Cs 0.501 0.501 0.932  0.00
F 0.807 0.807 0.908  -0.02
F 0.115 0.661 0.176  -0.01

For the calculated total energy, the calculation gives -0.417 Ry/atom. The space group is Cm (8). The value obtained for the uncorrected formation energy is -3.219 eV per atom.


Here is a relaxed CsUF5 crystal from the Alexandria database. Energies are from PBE.

Cell: 7.683 7.683 7.651 Å, 108.39 109.77 110.43°
Site moments in Bohr magnetons follow the coordinates.
Positions (direct):
F 0.061 0.811 0.750  -0.01
F 0.759 0.002 0.756  -0.02
F 0.764 0.715 0.957  -0.02
Cs 0.483 0.233 0.750  0.00
F 0.755 0.497 0.256  -0.02
U 0.000 0.000 0.000  2.02
Cs 0.517 0.767 0.250  0.00
F 0.245 0.503 0.744  -0.02
F 0.236 0.285 0.043  -0.02
F 0.241 0.998 0.244  -0.02
U 0.000 0.500 0.500  2.02
F 0.241 0.693 0.457  -0.02
F 0.939 0.189 0.250  -0.01
F 0.759 0.307 0.543  -0.02

For the calculated total energy, the calculation gives -0.478 Ry/atom. The space group is C2/c (15). The value obtained for the uncorrected formation energy is -3.434 eV per atom.


Here is a relaxed Cs3UF6 crystal from the Alexandria database. Energies are from PBE.

Cell: 8.330 8.330 8.330 Å, 91.39 91.39 91.39°
Site moments in Bohr magnetons follow the coordinates.
Positions (direct):
Cs 0.949 0.748 0.448  0.00
F 0.762 0.458 0.577  -0.01
F 0.423 0.238 0.542  -0.01
Cs 0.552 0.051 0.252  0.00
F 0.058 0.264 0.939  -0.01
U 0.000 0.000 0.000  2.72
F 0.942 0.736 0.061  -0.01
F 0.264 0.939 0.058  -0.01
F 0.577 0.762 0.458  -0.01
F 0.061 0.942 0.736  -0.01
F 0.458 0.577 0.762  -0.01
U 0.500 0.500 0.500  2.69
Cs 0.448 0.949 0.748  0.00
F 0.238 0.542 0.423  -0.01
F 0.939 0.058 0.264  -0.01
F 0.736 0.061 0.942  -0.01
F 0.542 0.423 0.238  -0.01
Cs 0.252 0.552 0.051  0.00
Cs 0.748 0.448 0.949  0.00
Cs 0.051 0.252 0.552  0.00

For the calculated total energy, the calculation gives -0.406 Ry/atom. The space group is R-3 (148). The value obtained for the uncorrected formation energy is -3.017 eV per atom.


Here is a relaxed Cs2UZn3F12 crystal from the Alexandria database. Energies are from PBE.

Cell: 7.950 7.950 7.950 Å, 57.04 57.04 57.04°
Site moments in Bohr magnetons follow the coordinates.
Positions (direct):
F 0.914 0.306 0.306  0.00
F 0.914 0.914 0.342  -0.01
Zn 0.500 0.000 0.000  0.00
F 0.342 0.914 0.914  -0.01
F 0.694 0.694 0.086  0.00
F 0.914 0.342 0.914  -0.01
F 0.086 0.658 0.086  -0.01
Cs 0.401 0.401 0.401  0.00
F 0.694 0.086 0.694  0.00
F 0.086 0.694 0.694  0.00
F 0.306 0.306 0.914  0.00
Cs 0.599 0.599 0.599  0.00
F 0.658 0.086 0.086  -0.01
F 0.306 0.914 0.306  0.00
U 0.000 0.000 0.000  2.01
Zn 0.000 0.000 0.500  0.00
Zn 0.000 0.500 0.000  0.00
F 0.086 0.086 0.658  -0.01

For the calculated total energy, the calculation gives -0.366 Ry/atom. The space group is R-3m (166). The value obtained for the uncorrected formation energy is -2.797 eV per atom.